The following is a PBE-GGA calculation of a geometry-optimized PaZn5Au structure, from Alexandria via LeMat-Bulk.

**DOS at the Fermi energy**: 5.42 states/eV per cell
**Final energy**: -2.82 eV/atom
**DFT formation energy**: -83.9 meV per atom
**Total moment**: 0.00 μB/f.u.

extended XYZ file:
```
7
Lattice="-1.285 -4.169 0.871 2.885 -0.183 3.382 -4.810 2.367 4.232" Properties=species:S:1:pos:R:3 pbc="T T T"
Zn 0.800 -2.176 2.126
Zn -2.040 -1.397 1.665
Zn 0.045 0.596 2.921
Zn -1.970 1.587 4.693
Zn -4.055 -0.406 3.437
Au -2.405 1.183 2.116
Pa 0.000 0.000 0.000
```

The following is a PBE-GGA calculation of a geometry-optimized LiLaAl2 structure, from Alexandria via LeMat-Bulk.

**DOS at the Fermi energy**: 1.09 states/eV per cell
**Energy above the lowest structure with this stoichiometry**: 62 meV per atom
**Final energy**: -3.78 eV/atom
**DFT formation energy**: -202.8 meV per atom
**Total moment**: 0.00 μB/f.u.

extended XYZ file:
```
4
Lattice="0.448 -0.377 5.003 1.637 3.934 2.686 -3.178 2.494 3.008" Properties=species:S:1:pos:R:3 pbc="T T T"
La -0.547 3.025 5.348
Al -0.820 4.538 8.022
Al -0.273 1.513 2.674
Li 0.000 0.000 0.000
```

The following is a PBE-GGA calculation of a geometry-optimized Ca2ErGaSe5 structure, from Alexandria via LeMat-Bulk.

**E_form (uncorrected)**: -1550 meV/atom
**Final energy**: -4.77 eV/atom
**Total moment**: 0.00 μB/f.u.

extended XYZ file:
```
18
Lattice="-2.635 -2.621 -1.481 4.591 -5.153 6.357 -8.270 3.389 8.719" Properties=species:S:1:pos:R:3 pbc="T T T"
Ga -8.667 1.115 8.046
Ga -0.690 -4.253 8.758
Se -2.876 -5.335 9.159
Se -7.246 -0.765 8.847
Se -1.457 -3.378 3.168
Se -3.502 -0.449 1.621
Se -0.111 -0.413 0.929
Se 2.302 -4.606 4.057
Se -3.088 -3.823 12.265
Se -4.558 -1.442 5.261
Se -3.716 -1.475 9.225
Se -0.929 -2.857 6.711
Ca -4.839 0.782 7.229
Ca -0.284 -5.655 5.111
Ca -5.656 -3.392 10.666
Ca -1.863 -0.499 4.199
Er 1.146 -2.591 2.548
Er -3.745 -3.316 7.131
```

The following is a PBE-GGA calculation of a geometry-optimized NpAg5Se6 structure, from Alexandria via LeMat-Bulk.

**DOS at the Fermi energy**: 9.89 states/eV per cell
**E_form (uncorrected)**: -294 meV/atom
**Final energy**: -4.30 eV/atom
**Total moment**: 2.00 μB/f.u.

extended XYZ file:
```
12
Lattice="6.882 0.264 0.000 2.181 6.821 0.000 1.090 3.411 5.823" Properties=species:S:1:pos:R:3 pbc="T T T"
Se 3.532 5.322 1.918
Se 2.032 1.984 0.000
Se 5.531 1.763 1.918
Se 7.031 5.101 0.000
Se 6.621 5.174 3.905
Se 4.623 8.732 3.905
Np 0.000 0.000 0.000
Ag 2.181 6.821 3.714
Ag 4.532 3.543 0.000
Ag 4.532 3.543 4.199
Ag 1.090 3.411 2.110
Ag 5.622 6.953 1.624
```

The following is a PBE-GGA calculation of a geometry-optimized RbNaTbCl5 structure, from Alexandria via LeMat-Bulk.

**DOS at the Fermi energy**: 0.00 states/eV per cell
**E_form (uncorrected)**: -2098 meV/atom
**Final energy**: -4.12 eV/atom
**Total moment**: 0.00 μB/f.u.

extended XYZ file:
```
16
Lattice="-0.439 3.196 7.162 6.289 -4.687 -0.417 2.782 8.016 -5.868" Properties=species:S:1:pos:R:3 pbc="T T T"
Cl 6.555 -2.181 -1.401
Cl 4.926 2.814 2.573
Cl 7.014 6.005 -1.147
Cl 1.662 2.218 5.859
Cl 7.192 1.377 -1.737
Cl 2.076 8.705 2.277
Cl 1.617 0.519 2.023
Cl 6.969 4.306 -4.982
Cl 1.440 5.147 2.614
Cl 3.706 3.710 -1.697
Tb 1.391 4.008 -2.934
Tb 0.000 0.000 0.000
Rb 4.725 -0.036 0.661
Rb 3.907 6.560 0.215
Na 6.277 3.783 -2.454
Na 2.355 2.741 3.331
```

The following is a PBE-GGA calculation of a geometry-optimized UCrSb structure, from Alexandria via LeMat-Bulk.

**DOS at the Fermi energy**: 9.14 states/eV per cell
**E_form (uncorrected)**: 199 meV/atom
**Final energy**: -8.15 eV/atom
**Total moment**: 1.26 μB/f.u.

extended XYZ file:
```
6
Lattice="4.321 0.000 0.000 -2.160 5.347 0.811 0.000 -0.487 5.478" Properties=species:S:1:pos:R:3 pbc="T T T"
Sb 2.160 2.647 4.500
Sb 0.000 2.212 1.789
U 0.000 0.312 4.454
U 2.160 4.547 1.835
Cr 2.160 0.727 2.465
Cr 0.000 4.132 3.824
```

The following is a PBE-GGA calculation of a geometry-optimized Sc5Se3 structure, from Alexandria via LeMat-Bulk.

**DOS at the Fermi energy**: 9.36 states/eV per cell
**E_form (uncorrected)**: -934 meV/atom
**Energy above the lowest structure with this stoichiometry**: 192 meV per atom
**Final energy**: -6.20 eV/atom
**Total moment**: 1.32 μB/f.u.

extended XYZ file:
```
8
Lattice="1.762 3.395 5.607 -6.086 -2.517 1.642 1.640 -3.083 1.351" Properties=species:S:1:pos:R:3 pbc="T T T"
Sc -2.302 -0.908 5.910
Sc 0.881 1.697 2.804
Sc -3.043 -1.259 0.821
Sc -0.382 -1.298 2.690
Sc 0.000 0.000 0.000
Se -2.162 0.439 3.625
Se 1.128 0.758 5.548
Se -3.812 -2.964 3.052
```

The following is a PBE-GGA calculation of a geometry-optimized TaRe2Tc structure, from Alexandria via LeMat-Bulk.

**DOS at the Fermi energy**: 3.52 states/eV per cell
**Energy above the lowest structure with this stoichiometry**: 64 meV per atom
**Final energy**: -11.78 eV/atom
**DFT formation energy**: -6.0 meV per atom
**Total moment**: 0.00 μB/f.u.

extended XYZ file:
```
4
Lattice="5.210 0.000 -0.006 -2.405 4.622 -0.006 0.472 0.778 2.594" Properties=species:S:1:pos:R:3 pbc="T T T"
Re 1.402 2.311 -0.006
Re 0.000 0.000 0.000
Ta 2.841 0.389 1.294
Tc -0.967 2.700 1.294
```